1.
Here is a relaxed TiTlC2 crystal from the Alexandria database. Energies are from GGA-PBEsol.

Results
Fermi-level density of states ... 10.602 states/eV per cell
Total DFT energy (no corrections) ... -5.882 eV per atom
Total magnetic moment ... 0.0 μB per formula unit
Energy of formation ... 1.678 eV per atom
V ... 192 Å³/cell

abc: 5.7711 5.7711 5.7711
angles: 90.00 90.00 90.00
Space group Fm-3m (No. 225)
One atom of each set of equivalent atoms:
Ti 0.0000 0.0000 0.0000 (multiplicity 4)
Tl 0.0000 0.0000 0.5000 (multiplicity 4)
C 0.2500 0.2500 0.2500 (multiplicity 8)



2.
Here is a relaxed Ti3TlC crystal from the Alexandria database. Energies are from GGA-PBEsol.

Results
Fermi-level density of states ... 4.326 states/eV per cell
Total DFT energy (no corrections) ... -7.969 eV per atom
Total magnetic moment ... 0.0 μB per formula unit
Energy of formation ... -0.520 eV per atom
V ... 75 Å³/cell

abc: 4.2104 4.2104 4.2104
angles: 90.00 90.00 90.00
Space group Pm-3m (No. 221)
One atom of each set of equivalent atoms:
Ti 0.0000 0.0000 0.5000 (multiplicity 3)
Tl 0.5000 0.5000 0.5000 (multiplicity 1)
C 0.0000 0.0000 0.0000 (multiplicity 1)



3.
Here is a relaxed TiVC2 crystal from the Alexandria database. Energies are from GGA-PBEsol.

Results
Fermi-level density of states ... 4.934 states/eV per cell
Total DFT energy (no corrections) ... -10.029 eV per atom
Total magnetic moment ... 0.0 μB per formula unit
Energy of formation ... -0.718 eV per atom
V ... 111 Å³/cell

abc: 2.9689 2.9689 14.5929
angles: 90.00 90.00 120.00
Space group R-3m (No. 166, hexagonal axes)
One atom of each set of equivalent atoms:
Ti 0.0000 0.0000 0.0000 (multiplicity 3)
V 0.0000 0.0000 0.5000 (multiplicity 3)
C 0.0000 0.0000 0.2468 (multiplicity 6)